(1)
A relaxed Hf7Sb2C2 crystal, computed with GGA-PBE.

Summary:
**Formation energy without anion corrections**: -0.126 eV per atom

a b c (Å): 7.2088 6.1926 6.1926
angles (deg): 110.44 96.69 96.69
Element x y z (fractional)
Hf: 0.8178 0.5053 0.0848
Hf: 0.1822 0.4947 0.9152
Hf: 0.8178 0.0848 0.5053
Hf: 0.1822 0.9152 0.4947
Hf: 0.1835 0.4120 0.4120
Hf: 0.8165 0.5880 0.5880
Hf: 0.0000 0.0000 0.0000
Sb: 0.5000 0.6939 0.3061
Sb: 0.5000 0.3061 0.6939
C: 0.8742 0.2834 0.2834
C: 0.1258 0.7166 0.7166

(2)
A relaxed HfTcSb2C crystal, computed with GGA-PBE.

Summary:
**Formation energy without anion corrections**: 1.592 eV per atom
**Relative energy among the computed polymorphs**: 0.00 kJ per mole of atoms

a b c (Å): 4.9866 4.9901 4.9866
angles (deg): 90.00 90.00 90.00
Element x y z (fractional)
Sb: 0.0000 0.0000 0.5000
Sb: 0.5000 0.0000 0.0000
Tc: 0.0000 0.0000 0.0000
C: 0.5000 0.5000 0.5000
Hf: 0.0000 0.5000 0.0000

(3)
A relaxed HfTc2SbC crystal, computed with GGA-PBE.

Summary:
**Formation energy without anion corrections**: 2.790 eV per atom

a b c (Å): 4.8281 4.8281 5.4370
angles (deg): 90.00 90.00 90.00
Element x y z (fractional)
Sb: 0.0000 0.0000 0.5000
C: 0.5000 0.5000 0.5000
Tc: 0.0000 0.5000 0.0000
Tc: 0.5000 0.0000 0.0000
Hf: 0.0000 0.0000 0.0000

(4)
A relaxed HfTcSb2C crystal, computed with GGA-PBE.

Summary:
**Formation energy without anion corrections**: 2.251 eV per atom
**Relative energy among the computed polymorphs**: 63.56 kJ per mole of atoms

a b c (Å): 5.4900 4.8665 5.4900
angles (deg): 90.00 90.00 90.00
Element x y z (fractional)
Sb: 0.5000 0.0000 0.0000
Sb: 0.0000 0.0000 0.5000
Tc: 0.0000 0.5000 0.0000
C: 0.5000 0.5000 0.5000
Hf: 0.0000 0.0000 0.0000

(5)
A relaxed Hf2Ti3Sb2C2 crystal, computed with GGA-PBE.

Summary:
**Formation energy without anion corrections**: -0.341 eV per atom

a b c (Å): 4.0349 4.0349 9.8088
angles (deg): 101.87 101.87 90.00
Element x y z (fractional)
Sb: 0.8509 0.8509 0.7018
Sb: 0.1491 0.1491 0.2982
Ti: 0.0000 0.0000 0.0000
Ti: 0.2500 0.7500 0.5000
Ti: 0.7500 0.2500 0.5000
C: 0.0000 0.5000 0.0000
C: 0.5000 0.0000 0.0000
Hf: 0.5740 0.5740 0.1480
Hf: 0.4260 0.4260 0.8520

(6)
A relaxed HfTi2SbC crystal, computed with GGA-PBE.

Summary:
**Formation energy without anion corrections**: -0.496 eV per atom

a b c (Å): 4.2045 4.2045 4.6356
angles (deg): 90.00 90.00 90.00
Element x y z (fractional)
Ti: 0.5000 0.0000 0.0000
Ti: 0.0000 0.5000 0.0000
C: 0.0000 0.0000 0.0000
Sb: 0.5000 0.5000 0.5000
Hf: 0.0000 0.0000 0.5000

(7)
A relaxed Hf3Zr2Sb2C2 crystal, computed with GGA-PBE.

Summary:
**Formation energy without anion corrections**: -0.233 eV per atom

a b c (Å): 4.2508 4.2508 10.2067
angles (deg): 102.02 102.02 90.00
Element x y z (fractional)
Sb: 0.8525 0.8525 0.7051
Sb: 0.1475 0.1475 0.2949
Zr: 0.4281 0.4281 0.8562
Zr: 0.5719 0.5719 0.1438
C: 0.0000 0.5000 0.0000
C: 0.5000 0.0000 0.0000
Hf: 0.7500 0.2500 0.5000
Hf: 0.0000 0.0000 0.0000
Hf: 0.2500 0.7500 0.5000

(8)
A relaxed Hf2ScC2 crystal, computed with GGA-PBE.

Summary:
**ΔH_f (0 K)**: -0.61 eV per atom

a b c (Å): 3.3215 3.3215 8.3122
angles (deg): 78.47 78.47 60.00
Element x y z (fractional)
Sc: 0.0000 0.0000 0.0000
Hf: 0.7720 0.7720 0.6839
Hf: 0.2280 0.2280 0.3161
C: 0.3938 0.3938 0.8187
C: 0.6062 0.6062 0.1813

(9)
A relaxed Hf5ScC4 crystal, computed with GGA-PBE.

Summary:
**ΔH_f (0 K)**: -0.68 eV per atom

a b c (Å): 3.3024 6.6254 7.3038
angles (deg): 103.98 103.07 90.00
Element x y z (fractional)
Hf: 0.5000 0.5000 0.0000
Hf: 0.8357 0.1489 0.6714
Hf: 0.8365 0.6817 0.6730
Hf: 0.1635 0.3183 0.3270
Hf: 0.1643 0.8511 0.3286
Sc: 0.5000 0.0000 0.0000
C: 0.0025 0.2596 0.0051
C: 0.6697 0.0913 0.3394
C: 0.9975 0.7404 0.9949
C: 0.3303 0.9087 0.6606

(10)
A relaxed HfScC crystal, computed with GGA-PBE.

Summary:
**ΔH_f (0 K)**: -0.52 eV per atom
**Relative energy among the computed polymorphs**: 7.85 kJ per mole of atoms

a b c (Å): 5.4584 3.3079 3.3079
angles (deg): 120.00 90.00 90.00
Element x y z (fractional)
Sc: 0.5666 0.6667 0.3333
C: 0.3232 0.3333 0.6667
Hf: 0.1102 0.0000 0.0000

(11)
A relaxed HfScC3 crystal, computed with GGA-PBE.

Summary:
**ΔH_f (0 K)**: 1.23 eV per atom
**Relative energy among the computed polymorphs**: 0.00 kJ per mole of atoms

a b c (Å): 4.1956 4.1956 4.1956
angles (deg): 90.00 90.00 90.00
Element x y z (fractional)
Sc: 0.5000 0.5000 0.5000
C: 0.0000 0.5000 0.0000
C: 0.0000 0.0000 0.5000
C: 0.5000 0.0000 0.0000
Hf: 0.0000 0.0000 0.0000

(12)
A relaxed HfScC crystal, computed with GGA-PBE.

Summary:
**ΔH_f (0 K)**: -0.60 eV per atom
**Relative energy among the computed polymorphs**: 0.00 kJ per mole of atoms

a b c (Å): 4.6239 6.6470 6.6298
angles (deg): 90.02 90.00 90.00
Element x y z (fractional)
C: 0.7500 0.3750 0.1257
C: 0.2500 0.1250 0.8743
C: 0.2500 0.6250 0.8743
C: 0.7500 0.8750 0.1257
Hf: 0.2500 0.8750 0.1075
Hf: 0.7500 0.6250 0.8925
Hf: 0.2500 0.3750 0.1075
Hf: 0.7500 0.1250 0.8925
Sc: 0.7500 0.1251 0.3624
Sc: 0.7500 0.6251 0.3624
Sc: 0.2500 0.3749 0.6376
Sc: 0.2500 0.8749 0.6376

Listing DFT total energy for the structures above in their given order: -8.887 -5.965 -6.016 -5.306 -8.150 -8.314 -8.416 -9.549 -9.978 -9.021 -7.557 -9.102 eV/atom.